Computed, not measured: KSiNiF2 after structural relaxation at the GGA+U level of DFT.

a = 4.0978 Å, b = 6.1254 Å, c = 4.0978 Å
α = 90.00°, β = 90.00°, γ = 90.00°
With the nearest neighbours (Å) after each atom.
Fractional coordinates of all 5 atoms:
Ni 0.0000 0.0000 0.0000  4 F 2.05
K 0.0000 0.5000 0.0000  4 Si 2.90, 2 Ni 3.06
Si 0.5000 0.5000 0.5000  4 K 2.90
F 0.0000 0.0000 0.5000  2 Ni 2.05
F 0.5000 0.0000 0.0000  2 Ni 2.05

Properties
* E: -2.6448 eV per atom
* Fermi-level density of states: 7.7 states/eV/f.u.
* volume: 102.86 Å³ per cell
* spin magnetization: 0.00 μB/atom